# 1
# PBE NaAs2Pd2, optimized geometry
data_NaAs2Pd2
_cell_length_a 7.728
_cell_length_b 7.728
_cell_length_c 3.023
_cell_angle_alpha 90.00
_cell_angle_beta 90.00
_cell_angle_gamma 90.00
_space_group_name_H-M_alt 'P 1'
_space_group_IT_number 1
loop_
_space_group_symop_operation_xyz
'x,y,z'
loop_
_atom_site_label
_atom_site_fract_x
_atom_site_fract_y
_atom_site_fract_z
As1 0.649 0.149 0.000
Pd1 0.860 0.360 0.500
Pd2 0.640 0.860 0.500
Na1 0.000 0.000 0.000
Pd3 0.140 0.640 0.500
As2 0.351 0.851 0.000
As3 0.149 0.351 0.000
Pd4 0.360 0.140 0.500
As4 0.851 0.649 0.000
Na2 0.500 0.500 0.000
# Calculated total energy ... -4.50 eV/atom
# SG ... P4/mbm, No. 127
# Calculated formation energy ... -29.1 kJ/mol of atoms
# ρ ... 7.10 g/cm3

=====

# 2
# PBE NaHg5Pb, optimized geometry
data_NaHg5Pb
_cell_length_a 6.240
_cell_length_b 7.998
_cell_length_c 8.928
_cell_angle_alpha 77.84
_cell_angle_beta 69.55
_cell_angle_gamma 67.04
_space_group_name_H-M_alt 'P 1'
_space_group_IT_number 1
loop_
_space_group_symop_operation_xyz
'x,y,z'
loop_
_atom_site_label
_atom_site_fract_x
_atom_site_fract_y
_atom_site_fract_z
Hg1 0.016 0.750 0.750
Pb1 0.500 0.500 0.500
Na1 0.523 0.750 0.750
Hg2 0.963 0.685 0.379
Hg3 0.984 0.250 0.250
Hg4 0.204 0.553 0.043
Hg5 0.700 0.053 0.543
Pb2 0.000 0.000 0.000
Hg6 0.300 0.947 0.457
Na2 0.477 0.250 0.250
Hg7 0.527 0.815 0.121
Hg8 0.473 0.185 0.879
Hg9 0.796 0.447 0.957
Hg10 0.037 0.315 0.621
# Calculated total energy ... -0.97 eV/atom
# SG ... C2/c, No. 15
# Calculated formation energy ... -3.2 kJ/mol of atoms
# ρ ... 10.69 g/cm3

=====

# 3
# PBE CsBe4Te3O12, optimized geometry
data_CsBe4Te3O12
_cell_length_a 6.587
_cell_length_b 6.587
_cell_length_c 6.587
_cell_angle_alpha 101.44
_cell_angle_beta 101.44
_cell_angle_gamma 101.44
_space_group_name_H-M_alt 'P 1'
_space_group_IT_number 1
loop_
_space_group_symop_operation_xyz
'x,y,z'
loop_
_atom_site_label
_atom_site_fract_x
_atom_site_fract_y
_atom_site_fract_z
O1 0.345 0.655 0.500
O2 0.992 0.585 0.742
O3 0.655 0.500 0.345
O4 0.585 0.742 0.992
Be1 0.500 0.939 0.061
Te1 0.449 0.000 0.551
O5 0.258 0.415 0.008
O6 0.415 0.008 0.258
Te2 0.551 0.449 0.000
Be2 0.500 0.500 0.500
Be3 0.061 0.500 0.939
O7 0.500 0.345 0.655
Te3 0.000 0.551 0.449
Be4 0.939 0.061 0.500
O8 0.094 0.906 0.500
O9 0.008 0.258 0.415
O10 0.906 0.500 0.094
O11 0.742 0.992 0.585
Cs1 0.000 0.000 0.000
O12 0.500 0.094 0.906
# Calculated total energy ... -5.79 eV/atom
# Formation energy without anion corrections ... -1.56 eV per atom
# SG ... R32, No. 155
# ρ ... 4.64 g/cm3

=====

# 4
# PBE ZrMnPb2, optimized geometry
data_ZrMnPb2
_cell_length_a 9.909
_cell_length_b 9.909
_cell_length_c 9.909
_cell_angle_alpha 19.44
_cell_angle_beta 19.44
_cell_angle_gamma 19.44
_space_group_name_H-M_alt 'P 1'
_space_group_IT_number 1
loop_
_space_group_symop_operation_xyz
'x,y,z'
loop_
_atom_site_label
_atom_site_fract_x
_atom_site_fract_y
_atom_site_fract_z
Mn1 0.750 0.750 0.750
Zr1 0.250 0.250 0.250
Pb1 0.495 0.495 0.495
Pb2 0.005 0.005 0.005
# Calculated total energy ... -6.03 eV/atom
# SG ... R-3m, No. 166
# Calculated formation energy ... 24.8 kJ/mol of atoms
# ρ ... 9.88 g/cm3

=====

# 5
# PBE CeMnGe2, optimized geometry
data_CeMnGe2
_cell_length_a 4.846
_cell_length_b 4.846
_cell_length_c 6.983
_cell_angle_alpha 69.70
_cell_angle_beta 69.70
_cell_angle_gamma 60.00
_space_group_name_H-M_alt 'P 1'
_space_group_IT_number 1
loop_
_space_group_symop_operation_xyz
'x,y,z'
loop_
_atom_site_label
_atom_site_fract_x
_atom_site_fract_y
_atom_site_fract_z
Ce1 0.500 0.500 0.500
Ge1 0.126 0.126 0.623
Mn1 0.000 0.000 0.000
Ge2 0.874 0.874 0.377
# Calculated total energy ... -5.56 eV/atom
# SG ... R-3m, No. 166
# Calculated formation energy ... 50.9 kJ/mol of atoms
# ρ ... 4.34 g/cm3

=====

# 6
# PBE Ac2LaSm8, optimized geometry
data_Ac2LaSm8
_cell_length_a 5.732
_cell_length_b 10.657
_cell_length_c 10.657
_cell_angle_alpha 39.23
_cell_angle_beta 92.94
_cell_angle_gamma 92.94
_space_group_name_H-M_alt 'P 1'
_space_group_IT_number 1
loop_
_space_group_symop_operation_xyz
'x,y,z'
loop_
_atom_site_label
_atom_site_fract_x
_atom_site_fract_y
_atom_site_fract_z
Sm1 0.762 0.456 0.456
La1 0.000 0.000 0.000
Sm2 0.267 0.142 0.608
Sm3 0.733 0.858 0.392
Sm4 0.227 0.178 0.178
Ac1 0.744 0.282 0.282
Ac2 0.256 0.718 0.718
Sm5 0.733 0.392 0.858
Sm6 0.238 0.544 0.544
Sm7 0.267 0.608 0.142
Sm8 0.773 0.822 0.822
# Calculated total energy ... -4.45 eV/atom
# SG ... C2/m, No. 12
# Calculated formation energy ... 17.2 kJ/mol of atoms
# ρ ... 7.25 g/cm3

=====

# 7
# PBE LaPrScAl, optimized geometry
data_LaPrScAl
_cell_length_a 5.419
_cell_length_b 5.419
_cell_length_c 5.419
_cell_angle_alpha 60.00
_cell_angle_beta 60.00
_cell_angle_gamma 60.00
_space_group_name_H-M_alt 'P 1'
_space_group_IT_number 1
loop_
_space_group_symop_operation_xyz
'x,y,z'
loop_
_atom_site_label
_atom_site_fract_x
_atom_site_fract_y
_atom_site_fract_z
Sc1 0.000 0.000 0.000
Al1 0.500 0.500 0.500
Pr1 0.250 0.250 0.250
La1 0.750 0.750 0.750
# Calculated total energy ... -5.03 eV/atom
# SG ... F-43m, No. 216
# Calculated formation energy ... -8.4 kJ/mol of atoms
# ρ ... 5.19 g/cm3

=====

# 8
# PBE Pm9Er4Hg11, optimized geometry
data_Pm9Er4Hg11
_cell_length_a 3.558
_cell_length_b 14.071
_cell_length_c 14.071
_cell_angle_alpha 111.65
_cell_angle_beta 90.00
_cell_angle_gamma 90.00
_space_group_name_H-M_alt 'P 1'
_space_group_IT_number 1
loop_
_space_group_symop_operation_xyz
'x,y,z'
loop_
_atom_site_label
_atom_site_fract_x
_atom_site_fract_y
_atom_site_fract_z
Pm1 0.500 0.857 0.368
Pm2 0.500 0.368 0.857
Hg1 0.000 0.165 0.835
Er1 0.500 0.747 0.555
Pm3 0.500 0.793 0.956
Pm4 0.500 0.632 0.143
Hg2 0.000 0.584 0.939
Er2 0.500 0.253 0.445
Pm5 0.500 0.044 0.207
Hg3 0.000 0.637 0.363
Hg4 0.000 0.416 0.061
Hg5 0.000 0.939 0.584
Hg6 0.000 0.835 0.165
Hg7 0.000 0.061 0.416
Pm6 0.500 0.207 0.044
Hg8 0.000 0.272 0.272
Er3 0.500 0.555 0.747
Hg9 0.000 0.728 0.728
Pm7 0.500 0.143 0.632
Hg10 0.000 0.363 0.637
Er4 0.500 0.445 0.253
Pm8 0.500 0.500 0.500
Pm9 0.500 0.956 0.793
Hg11 0.000 0.000 0.000
# Calculated total energy ... -3.06 eV/atom
# SG ... Cmmm, No. 65
# Calculated formation energy ... -36.8 kJ/mol of atoms
# ρ ... 10.60 g/cm3